# 1
VASP calculation (PBE) on an optimized crystal structure of AsN3F6.

Values from the calculation:
E_form (uncorrected): 0.1798 eV per atom

Cell lengths 5.056, 6.290, 8.110 Å; angles 70.45, 73.67, 71.99 degrees
Sites, in units of the cell vectors:
1 As 0.000 0.000 0.000
2 N 0.000 0.500 0.000
3 N 0.000 0.500 0.500
4 N 0.500 0.000 0.500
5 F 0.078 0.986 0.200
6 F 0.130 0.275 0.887
7 F 0.341 0.836 0.939
8 F 0.659 0.164 0.061
9 F 0.870 0.725 0.113
10 F 0.922 0.014 0.800

---

# 2
VASP calculation (PBE) on an optimized crystal structure of NdSm4Ag2.

Values from the calculation:
Calculated formation energy: 0.182 eV per atom

Cell lengths 10.841, 10.841, 10.841 Å; angles 26.84, 26.84, 26.84 degrees
Sites, in units of the cell vectors:
1 Nd 0.000 0.000 0.000
2 Sm 0.203 0.203 0.203
3 Sm 0.393 0.393 0.393
4 Sm 0.607 0.607 0.607
5 Sm 0.797 0.797 0.797
6 Ag 0.101 0.101 0.101
7 Ag 0.899 0.899 0.899

---

# 3
VASP calculation (PBE) on an optimized crystal structure of LiPrLuOs.

Values from the calculation:
Calculated formation energy: -0.153 eV per atom

Cell lengths 4.950, 4.950, 4.950 Å; angles 60.00, 60.00, 60.00 degrees
Sites, in units of the cell vectors:
1 Li 0.000 0.000 0.000
2 Pr 0.750 0.750 0.750
3 Lu 0.250 0.250 0.250
4 Os 0.500 0.500 0.500

---

# 4
VASP calculation (PBE) on an optimized crystal structure of RbH.

Values from the calculation:
Total energy: -2.27 eV/atom

Cell lengths 7.974, 7.974, 7.974 Å; angles 90.00, 90.00, 90.00 degrees
Sites, in units of the cell vectors:
1 Rb 0.000 0.250 0.500
2 Rb 0.000 0.750 0.500
3 Rb 0.250 0.500 0.000
4 Rb 0.500 0.000 0.250
5 Rb 0.500 0.000 0.750
6 Rb 0.750 0.500 0.000
7 H 0.000 0.500 0.250
8 H 0.000 0.500 0.750
9 H 0.250 0.000 0.500
10 H 0.500 0.250 0.000
11 H 0.500 0.750 0.000
12 H 0.750 0.000 0.500

---

# 5
VASP calculation (PBE) on an optimized crystal structure of Dy3Y2Tm6Th.

Values from the calculation:
Calculated formation energy: 0.027 eV per atom

Cell lengths 6.110, 6.110, 11.662 Å; angles 95.02, 95.02, 119.98 degrees
Sites, in units of the cell vectors:
1 Dy 0.000 0.000 0.000
2 Dy 0.333 0.667 0.000
3 Dy 0.667 0.333 0.000
4 Y 0.167 0.833 0.500
5 Y 0.833 0.167 0.500
6 Tm 0.087 0.416 0.250
7 Tm 0.255 0.255 0.750
8 Tm 0.416 0.087 0.250
9 Tm 0.584 0.913 0.750
10 Tm 0.745 0.745 0.250
11 Tm 0.913 0.584 0.750
12 Th 0.500 0.500 0.500

---

# 6
VASP calculation (PBE) on an optimized crystal structure of SmErLu2.

Values from the calculation:
Energy above the lowest structure with this stoichiometry: 0.0773 eV/atom
Calculated formation energy: 0.108 eV per atom

Cell lengths 5.598, 5.598, 5.598 Å; angles 60.00, 60.00, 60.00 degrees
Sites, in units of the cell vectors:
1 Sm 0.000 0.000 0.000
2 Er 0.500 0.500 0.500
3 Lu 0.250 0.250 0.250
4 Lu 0.750 0.750 0.750

---

# 7
VASP calculation (PBE) on an optimized crystal structure of RbNb2Ag.

Values from the calculation:
Energy above the lowest structure with this stoichiometry: 0.0000 eV/atom
Calculated formation energy: 1.410 eV per atom

Cell lengths 11.313, 11.313, 11.313 Å; angles 155.36, 155.36, 35.12 degrees
Sites, in units of the cell vectors:
1 Rb 0.000 0.000 0.000
2 Rb 0.750 0.250 0.500
3 Nb 0.371 0.625 0.246
4 Nb 0.375 0.621 0.746
5 Nb 0.379 0.125 0.754
6 Nb 0.875 0.629 0.254
7 Ag 0.250 0.750 0.500
8 Ag 0.500 0.500 0.000

---

# 8
VASP calculation (PBE) on an optimized crystal structure of LaAuS2.

Values from the calculation:
E_form (uncorrected): -1.2615 eV per atom
Energy above the lowest structure with this stoichiometry: 0.1364 eV/atom

Cell lengths 6.537, 6.537, 5.147 Å; angles 90.00, 90.00, 109.21 degrees
Sites, in units of the cell vectors:
1 La 0.135 0.865 0.750
2 La 0.865 0.135 0.250
3 Au 0.423 0.577 0.750
4 Au 0.577 0.423 0.250
5 S 0.081 0.311 0.750
6 S 0.311 0.081 0.250
7 S 0.689 0.919 0.750
8 S 0.919 0.689 0.250

---

# 9
VASP calculation (PBE) on an optimized crystal structure of PrCo3Ge3.

Values from the calculation:
Energy above the lowest structure with this stoichiometry: 0.0000 eV/atom
Calculated formation energy: -0.329 eV per atom

Cell lengths 8.353, 8.353, 4.061 Å; angles 90.00, 90.00, 120.00 degrees
Sites, in units of the cell vectors:
1 Pr 0.333 0.667 0.250
2 Pr 0.667 0.333 0.750
3 Co 0.056 0.858 0.250
4 Co 0.142 0.198 0.250
5 Co 0.198 0.056 0.750
6 Co 0.802 0.944 0.250
7 Co 0.858 0.802 0.750
8 Co 0.944 0.142 0.750
9 Ge 0.095 0.727 0.750
10 Ge 0.273 0.367 0.750
11 Ge 0.367 0.095 0.250
12 Ge 0.633 0.905 0.750
13 Ge 0.727 0.633 0.250
14 Ge 0.905 0.273 0.250

---

# 10
VASP calculation (PBE) on an optimized crystal structure of RbNaPb6.

Values from the calculation:
Energy above the lowest structure with this stoichiometry: 0.0000 eV/atom
Calculated formation energy: -0.064 eV per atom

Cell lengths 5.702, 7.490, 6.261 Å; angles 90.00, 90.00, 90.00 degrees
Sites, in units of the cell vectors:
1 Rb 0.000 0.000 0.000
2 Na 0.500 0.500 0.306
3 Pb 0.000 0.279 0.496
4 Pb 0.000 0.500 0.969
5 Pb 0.000 0.721 0.496
6 Pb 0.500 0.000 0.414
7 Pb 0.500 0.282 0.811
8 Pb 0.500 0.718 0.811

---

# 11
VASP calculation (PBE) on an optimized crystal structure of ScZnCu6.

Values from the calculation:
Calculated formation energy: -0.049 eV per atom

Cell lengths 4.774, 4.774, 4.774 Å; angles 90.00, 90.00, 90.00 degrees
Sites, in units of the cell vectors:
1 Sc 0.000 0.000 0.000
2 Zn 0.500 0.500 0.500
3 Cu 0.000 0.254 0.500
4 Cu 0.000 0.746 0.500
5 Cu 0.254 0.500 0.000
6 Cu 0.500 0.000 0.254
7 Cu 0.500 0.000 0.746
8 Cu 0.746 0.500 0.000

---

# 12
VASP calculation (PBE) on an optimized crystal structure of Tb6PrSm3.

Values from the calculation:
Energy above the lowest structure with this stoichiometry: 0.0000 eV/atom
Calculated formation energy: 0.149 eV per atom

Cell lengths 11.034, 11.034, 6.309 Å; angles 90.00, 90.00, 119.70 degrees
Sites, in units of the cell vectors:
1 Tb 0.041 0.959 0.500
2 Tb 0.047 0.467 0.016
3 Tb 0.278 0.722 0.746
4 Tb 0.289 0.379 0.846
5 Tb 0.379 0.289 0.346
6 Tb 0.467 0.047 0.516
7 Tb 0.533 0.953 0.016
8 Tb 0.621 0.711 0.846
9 Tb 0.711 0.621 0.346
10 Tb 0.722 0.278 0.246
11 Tb 0.953 0.533 0.516
12 Tb 0.959 0.041 0.000
13 Pr 0.199 0.801 0.258
14 Pr 0.801 0.199 0.758
15 Sm 0.062 0.287 0.425
16 Sm 0.287 0.062 0.925
17 Sm 0.388 0.612 0.316
18 Sm 0.612 0.388 0.816
19 Sm 0.713 0.938 0.425
20 Sm 0.938 0.713 0.925